VASP calculation (PBE) on an optimized crystal structure of Ag3HCl4.

```
data_Ag3HCl4
_chemical_formula_sum 'Ag6 H2 Cl8'
_space_group_name_H-M_alt 'P 1 c 1'
_space_group_IT_number 7
_space_group_name_Hall 'P -2yc'
_cell_length_a 7.2922
_cell_length_b 7.6548
_cell_length_c 10.2382
_cell_angle_alpha 90.00
_cell_angle_beta 128.28
_cell_angle_gamma 90.00
loop_
_atom_site_label
_atom_site_fract_x
_atom_site_fract_y
_atom_site_fract_z
Ag1 0.0000 0.0556 0.0000
Ag2 0.0242 0.3668 0.6739
Ag3 0.6847 0.2009 0.2116
H1 0.2486 0.3188 0.4742
Cl1 0.0165 0.3097 0.2186
Cl2 0.2590 0.1875 0.9556
Cl3 0.3822 0.3252 0.6400
Cl4 0.7145 0.1408 0.4735
```

The crystal system is monoclinic. For the energy, the calculation gives -2.84 eV/atom. The calculation puts the magnetization at 0.000 Bohr magnetons per cell.